The following is a GGA+U calculation of a relaxed NaCrBrO crystal, from the Alexandria database.

extended XYZ file:
```
12
Lattice="-1.1594 3.3124 -1.6446 -2.4711 -2.9671 0.3328 -5.9042 6.9558 18.1726" Properties=species:S:1:pos:R:3 pbc="T T T"
Na -0.3096 0.3647 0.9528
Na -6.2796 4.1280 12.7416
Na -3.8743 3.9025 6.0249
Cr -4.9858 5.8739 15.3461
Cr -5.0517 2.6814 8.9622
Cr -2.6464 2.4559 2.2455
Br -1.4945 1.7607 4.5999
Br -7.4645 5.5240 16.3887
Br -5.0592 5.2985 9.6720
O -4.4531 5.2463 13.7064
O -4.5189 2.0538 7.3225
O -2.1136 1.8283 0.6058
```

- total magnetic moment (μB/f.u.) = 4.00
- space-group type = R3m (160)
- energy above the most stable polymorph in this dataset (meV per atom) = 298
- V (A^3/atom) = 22.0
- final energy (Ry per atom) = -0.352